DFT (PBE) results for an optimized crystal structure of Zr2NbCu2.

Summary:
Its formation energy is 0.29 kcal/mol of atoms. The crystal system is tetragonal. For the density of states at the Fermi level, the calculation gives 1.401 states/eV/atom. For the total DFT energy (no corrections), the calculation gives -70.6 eV for the cell shown. The calculation puts the mass density at 7.49 Mg/m³. As for the energy above the most stable polymorph in this dataset: 0.000 eV/atom.

```
data_Zr2NbCu2
_space_group_name_H-M_alt 'P 1'
_space_group_IT_number 1
_cell_length_a 7.535
_cell_length_b 7.535
_cell_length_c 3.144
_cell_angle_alpha 90.00
_cell_angle_beta 90.00
_cell_angle_gamma 90.00
loop_
_space_group_symop_operation_xyz
'x,y,z'
loop_
_atom_site_label
_atom_site_type_symbol
_atom_site_fract_x
_atom_site_fract_y
_atom_site_fract_z
_atom_site_occupancy
Nb1 Nb 0.000 0.000 0.000 1
Nb2 Nb 0.500 0.500 0.000 1
Cu1 Cu 0.382 0.882 0.000 1
Cu2 Cu 0.882 0.618 0.000 1
Cu3 Cu 0.618 0.118 0.000 1
Cu4 Cu 0.118 0.382 0.000 1
Zr1 Zr 0.179 0.679 0.500 1
Zr2 Zr 0.679 0.821 0.500 1
Zr3 Zr 0.821 0.321 0.500 1
Zr4 Zr 0.321 0.179 0.500 1
```

DFT (PBE) results for an optimized crystal structure of CaNb3W.

Summary:
Its formation energy is 23.24 kcal/mol of atoms. The crystal system is cubic. For the density of states at the Fermi level, the calculation gives 0.631 states/eV/atom. For the total DFT energy (no corrections), the calculation gives -40.1 eV for the cell shown. The calculation puts the mass density at 6.77 Mg/m³.

```
data_CaNb3W
_space_group_name_H-M_alt 'P 1'
_space_group_IT_number 1
_cell_length_a 4.976
_cell_length_b 4.976
_cell_length_c 4.976
_cell_angle_alpha 90.00
_cell_angle_beta 90.00
_cell_angle_gamma 90.00
loop_
_space_group_symop_operation_xyz
'x,y,z'
loop_
_atom_site_label
_atom_site_type_symbol
_atom_site_fract_x
_atom_site_fract_y
_atom_site_fract_z
_atom_site_occupancy
Nb1 Nb 0.000 0.500 0.000 1
Nb2 Nb 0.000 0.000 0.500 1
Nb3 Nb 0.500 0.000 0.000 1
Ca1 Ca 0.500 0.500 0.500 1
W1 W 0.000 0.000 0.000 1
```

DFT (PBE) results for an optimized crystal structure of La3NiPt3.

Summary:
Its formation energy is -22.71 kcal/mol of atoms. The crystal system is orthorhombic. For the density of states at the Fermi level, the calculation gives 0.732 states/eV/atom. For the total DFT energy (no corrections), the calculation gives -45.6 eV for the cell shown. The calculation puts the mass density at 10.56 Mg/m³.

```
data_La3NiPt3
_space_group_name_H-M_alt 'P 1'
_space_group_IT_number 1
_cell_length_a 4.369
_cell_length_b 4.078
_cell_length_c 9.826
_cell_angle_alpha 101.98
_cell_angle_beta 102.84
_cell_angle_gamma 90.00
loop_
_space_group_symop_operation_xyz
'x,y,z'
loop_
_atom_site_label
_atom_site_type_symbol
_atom_site_fract_x
_atom_site_fract_y
_atom_site_fract_z
_atom_site_occupancy
La1 La 0.319 0.819 0.638 1
La2 La 0.683 0.183 0.366 1
La3 La 0.000 0.000 0.001 1
Ni1 Ni 0.428 0.428 0.856 1
Pt1 Pt 0.157 0.657 0.313 1
Pt2 Pt 0.854 0.354 0.708 1
Pt3 Pt 0.559 0.559 0.118 1
```

DFT (PBE) results for an optimized crystal structure of Cd2CoRh.

Summary:
Its formation energy is 3.18 kcal/mol of atoms. The crystal system is orthorhombic. For the density of states at the Fermi level, the calculation gives 0.986 states/eV/atom. For the total DFT energy (no corrections), the calculation gives -15.7 eV for the cell shown. The calculation puts the mass density at 9.71 Mg/m³.

```
data_Cd2CoRh
_space_group_name_H-M_alt 'P 1'
_space_group_IT_number 1
_cell_length_a 5.497
_cell_length_b 5.497
_cell_length_c 5.497
_cell_angle_alpha 148.52
_cell_angle_beta 129.72
_cell_angle_gamma 60.54
loop_
_space_group_symop_operation_xyz
'x,y,z'
loop_
_atom_site_label
_atom_site_type_symbol
_atom_site_fract_x
_atom_site_fract_y
_atom_site_fract_z
_atom_site_occupancy
Cd1 Cd 0.010 0.010 0.000 1
Cd2 Cd 0.732 0.232 0.500 1
Co1 Co 0.485 0.485 0.000 1
Rh1 Rh 0.272 0.772 0.500 1
```

DFT (PBE) results for an optimized crystal structure of YCoPb2.

Summary:
Its formation energy is 2.30 kcal/mol of atoms. The crystal system is tetragonal. For the density of states at the Fermi level, the calculation gives 0.941 states/eV/atom. For the total DFT energy (no corrections), the calculation gives -20.6 eV for the cell shown. The calculation puts the mass density at 10.42 Mg/m³. As for the energy above the most stable polymorph in this dataset: 0.107 eV/atom.

```
data_YCoPb2
_space_group_name_H-M_alt 'P 1'
_space_group_IT_number 1
_cell_length_a 3.410
_cell_length_b 3.410
_cell_length_c 7.704
_cell_angle_alpha 90.00
_cell_angle_beta 90.00
_cell_angle_gamma 89.95
loop_
_space_group_symop_operation_xyz
'x,y,z'
loop_
_atom_site_label
_atom_site_type_symbol
_atom_site_fract_x
_atom_site_fract_y
_atom_site_fract_z
_atom_site_occupancy
Co1 Co 0.500 0.500 0.750 1
Pb1 Pb 0.000 0.000 0.956 1
Pb2 Pb 0.000 0.000 0.544 1
Y1 Y 0.500 0.500 0.250 1
```

DFT (PBE) results for an optimized crystal structure of Dy3Pa2Ru4.

Summary:
Its formation energy is -11.19 kcal/mol of atoms. The crystal system is monoclinic. For the density of states at the Fermi level, the calculation gives 0.536 states/eV/atom. For the total DFT energy (no corrections), the calculation gives -148.5 eV for the cell shown. The calculation puts the mass density at 10.87 Mg/m³.

```
data_Dy3Pa2Ru4
_space_group_name_H-M_alt 'P 1'
_space_group_IT_number 1
_cell_length_a 6.914
_cell_length_b 6.914
_cell_length_c 8.947
_cell_angle_alpha 93.61
_cell_angle_beta 93.61
_cell_angle_gamma 103.64
loop_
_space_group_symop_operation_xyz
'x,y,z'
loop_
_atom_site_label
_atom_site_type_symbol
_atom_site_fract_x
_atom_site_fract_y
_atom_site_fract_z
_atom_site_occupancy
Dy1 Dy 0.936 0.648 0.852 1
Dy2 Dy 0.352 0.064 0.648 1
Dy3 Dy 0.064 0.352 0.148 1
Dy4 Dy 0.648 0.936 0.352 1
Dy5 Dy 0.117 0.883 0.250 1
Dy6 Dy 0.883 0.117 0.750 1
Pa1 Pa 0.742 0.462 0.444 1
Pa2 Pa 0.538 0.258 0.056 1
Pa3 Pa 0.258 0.538 0.556 1
Pa4 Pa 0.462 0.742 0.944 1
Ru1 Ru 0.978 0.780 0.544 1
Ru2 Ru 0.220 0.022 0.956 1
Ru3 Ru 0.022 0.220 0.456 1
Ru4 Ru 0.780 0.978 0.044 1
Ru5 Ru 0.751 0.584 0.137 1
Ru6 Ru 0.416 0.249 0.363 1
Ru7 Ru 0.249 0.416 0.863 1
Ru8 Ru 0.584 0.751 0.637 1
```

DFT (PBE) results for an optimized crystal structure of Y4Tl3Ni.

Summary:
Its formation energy is -8.49 kcal/mol of atoms. The crystal system is tetragonal. For the density of states at the Fermi level, the calculation gives 0.752 states/eV/atom. For the total DFT energy (no corrections), the calculation gives -41.7 eV for the cell shown. The calculation puts the mass density at 8.35 Mg/m³.

```
data_Y4Tl3Ni
_space_group_name_H-M_alt 'P 1'
_space_group_IT_number 1
_cell_length_a 3.579
_cell_length_b 3.579
_cell_length_c 15.958
_cell_angle_alpha 90.00
_cell_angle_beta 90.00
_cell_angle_gamma 90.00
loop_
_space_group_symop_operation_xyz
'x,y,z'
loop_
_atom_site_label
_atom_site_type_symbol
_atom_site_fract_x
_atom_site_fract_y
_atom_site_fract_z
_atom_site_occupancy
Y1 Y 0.000 0.000 0.899 1
Y2 Y 0.000 0.000 0.101 1
Y3 Y 0.000 0.000 0.367 1
Y4 Y 0.000 0.000 0.633 1
Ni1 Ni 0.500 0.500 0.000 1
Tl1 Tl 0.500 0.500 0.236 1
Tl2 Tl 0.500 0.500 0.500 1
Tl3 Tl 0.500 0.500 0.764 1
```

DFT (PBE) results for an optimized crystal structure of AgSbRu2.

Summary:
The calculation puts the formation energy (no corrections) at 0.435 eV/atom. The crystal system is trigonal. For the density of states at the Fermi level, the calculation gives 0.869 states/eV/atom. For the total DFT energy (no corrections), the calculation gives -23.8 eV for the cell shown. The calculation puts the mass density at 10.44 Mg/m³.

```
data_AgSbRu2
_space_group_name_H-M_alt 'P 1'
_space_group_IT_number 1
_cell_length_a 8.703
_cell_length_b 8.703
_cell_length_c 8.703
_cell_angle_alpha 20.18
_cell_angle_beta 20.18
_cell_angle_gamma 20.18
loop_
_space_group_symop_operation_xyz
'x,y,z'
loop_
_atom_site_label
_atom_site_type_symbol
_atom_site_fract_x
_atom_site_fract_y
_atom_site_fract_z
_atom_site_occupancy
Ag1 Ag 0.750 0.750 0.750 1
Ru1 Ru 0.994 0.994 0.994 1
Ru2 Ru 0.506 0.506 0.506 1
Sb1 Sb 0.250 0.250 0.250 1
```

DFT (PBE) results for an optimized crystal structure of Li2UAl3O8.

Summary:
The calculation puts the formation energy (no corrections) at -2.682 eV/atom. The crystal system is trigonal. For the density of states at the Fermi level, the calculation gives 0.504 states/eV/atom. For the total DFT energy (no corrections), the calculation gives -103.6 eV for the cell shown. The calculation puts the mass density at 5.29 Mg/m³.

```
data_Li2UAl3O8
_space_group_name_H-M_alt 'P 1'
_space_group_IT_number 1
_cell_length_a 5.990
_cell_length_b 5.990
_cell_length_c 5.803
_cell_angle_alpha 58.93
_cell_angle_beta 58.93
_cell_angle_gamma 60.00
loop_
_space_group_symop_operation_xyz
'x,y,z'
loop_
_atom_site_label
_atom_site_type_symbol
_atom_site_fract_x
_atom_site_fract_y
_atom_site_fract_z
_atom_site_occupancy
Li1 Li 0.127 0.127 0.618 1
Li2 Li 0.491 0.491 0.526 1
U1 U 0.916 0.916 0.251 1
Al1 Al 0.498 0.011 0.992 1
Al2 Al 0.011 0.498 0.992 1
Al3 Al 0.498 0.498 0.992 1
O1 O 0.259 0.259 0.222 1
O2 O 0.748 0.748 0.757 1
O3 O 0.225 0.225 0.827 1
O4 O 0.722 0.225 0.827 1
O5 O 0.225 0.722 0.827 1
O6 O 0.728 0.315 0.230 1
O7 O 0.315 0.728 0.230 1
O8 O 0.728 0.728 0.230 1
```

DFT (PBE) results for an optimized crystal structure of CsPuGeCl6.

Summary:
The calculation puts the formation energy (no corrections) at -1.534 eV/atom. The crystal system is orthorhombic. For the density of states at the Fermi level, the calculation gives 1.142 states/eV/atom. For the total DFT energy (no corrections), the calculation gives -89.4 eV for the cell shown. The calculation puts the mass density at 3.19 Mg/m³.

```
data_CsPuGeCl6
_space_group_name_H-M_alt 'P 1'
_space_group_IT_number 1
_cell_length_a 10.042
_cell_length_b 9.771
_cell_length_c 9.919
_cell_angle_alpha 119.51
_cell_angle_beta 120.41
_cell_angle_gamma 90.00
loop_
_space_group_symop_operation_xyz
'x,y,z'
loop_
_atom_site_label
_atom_site_type_symbol
_atom_site_fract_x
_atom_site_fract_y
_atom_site_fract_z
_atom_site_occupancy
Cs1 Cs 0.809 0.559 0.619 1
Cs2 Cs 0.191 0.441 0.381 1
Pu1 Pu 0.500 0.000 0.500 1
Pu2 Pu 0.000 0.000 0.500 1
Ge1 Ge 0.500 0.500 0.000 1
Ge2 Ge 0.500 0.000 0.000 1
Cl1 Cl 0.437 0.687 0.873 1
Cl2 Cl 0.828 0.078 0.656 1
Cl3 Cl 0.826 0.093 0.262 1
Cl4 Cl 0.436 0.669 0.262 1
Cl5 Cl 0.436 0.093 0.262 1
Cl6 Cl 0.826 0.669 0.262 1
Cl7 Cl 0.563 0.313 0.127 1
Cl8 Cl 0.172 0.922 0.344 1
Cl9 Cl 0.174 0.907 0.738 1
Cl10 Cl 0.564 0.331 0.738 1
Cl11 Cl 0.564 0.907 0.738 1
Cl12 Cl 0.174 0.331 0.738 1
```

DFT (PBE) results for an optimized crystal structure of La8As4Se3Cl.

Summary:
The calculation puts the formation energy (no corrections) at -1.796 eV/atom. The crystal system is trigonal. For the density of states at the Fermi level, the calculation gives 0.565 states/eV/atom. For the total DFT energy (no corrections), the calculation gives -99.1 eV for the cell shown. The calculation puts the mass density at 6.04 Mg/m³.

```
data_La8As4Se3Cl
_space_group_name_H-M_alt 'P 1'
_space_group_IT_number 1
_cell_length_a 8.675
_cell_length_b 8.684
_cell_length_c 8.675
_cell_angle_alpha 119.97
_cell_angle_beta 120.00
_cell_angle_gamma 90.00
loop_
_space_group_symop_operation_xyz
'x,y,z'
loop_
_atom_site_label
_atom_site_type_symbol
_atom_site_fract_x
_atom_site_fract_y
_atom_site_fract_z
_atom_site_occupancy
La1 La 0.257 0.762 0.006 1
La2 La 0.257 0.762 0.513 1
La3 La 0.247 0.242 0.495 1
La4 La 0.749 0.762 0.006 1
La5 La 0.251 0.238 0.994 1
La6 La 0.753 0.758 0.505 1
La7 La 0.743 0.238 0.487 1
La8 La 0.743 0.238 0.994 1
As1 As 0.500 0.000 0.000 1
As2 As 0.500 0.000 0.500 1
As3 As 0.000 0.000 0.000 1
As4 As 0.000 0.000 0.500 1
Se1 Se 0.500 0.500 0.000 1
Se2 Se 0.500 0.500 0.500 1
Se3 Se 0.000 0.500 0.500 1
Cl1 Cl 0.000 0.500 0.000 1
```

DFT (PBE) results for an optimized crystal structure of YCuOs2.

Summary:
Its formation energy is 12.22 kcal/mol of atoms. The crystal system is trigonal. For the density of states at the Fermi level, the calculation gives 1.194 states/eV/atom. For the total DFT energy (no corrections), the calculation gives -30.9 eV for the cell shown. The calculation puts the mass density at 13.35 Mg/m³. As for the energy above the most stable polymorph in this dataset: 0.355 eV/atom.

```
data_YCuOs2
_space_group_name_H-M_alt 'P 1'
_space_group_IT_number 1
_cell_length_a 9.534
_cell_length_b 9.534
_cell_length_c 9.534
_cell_angle_alpha 17.22
_cell_angle_beta 17.22
_cell_angle_gamma 17.22
loop_
_space_group_symop_operation_xyz
'x,y,z'
loop_
_atom_site_label
_atom_site_type_symbol
_atom_site_fract_x
_atom_site_fract_y
_atom_site_fract_z
_atom_site_occupancy
Cu1 Cu 0.742 0.742 0.742 1
Os1 Os 0.999 0.999 0.999 1
Os2 Os 0.260 0.260 0.260 1
Y1 Y 0.499 0.499 0.499 1
```

Question: The lowest mass density belongs to which entry?
Answer: CsPuGeCl6